1.
Sm2CdCoO6 (PBE with a Hubbard U, relaxed); electronic total energy = -133.08 eV for the cell shown; space-group type = P2_1/c
1.0
5.4573 0.0000 0.0000
0.0000 5.8555 0.0000
-5.4323 0.0000 7.8532
Sm Cd Co O
4 2 2 12
direct
0.2255 0.0687 0.2474
0.2255 0.4313 0.7474
0.7745 0.5687 0.2526
0.7745 0.9313 0.7526
0.0000 0.0000 0.5000
0.0000 0.5000 0.0000
0.5000 0.0000 0.0000
0.5000 0.5000 0.5000
0.1645 0.1728 0.9490
0.1645 0.3272 0.4490
0.2606 0.7222 0.9293
0.2606 0.7778 0.4293
0.3935 0.0520 0.7745
0.3935 0.4480 0.2745
0.6065 0.5520 0.7255
0.6065 0.9480 0.2255
0.7394 0.2222 0.5707
0.7394 0.2778 0.0707
0.8355 0.6728 0.5510
0.8355 0.8272 0.0510

=====

2.
CdCoSnO4 (PBE with a Hubbard U, relaxed); electronic total energy = -78.46 eV for the cell shown; Fermi-level density of states = 0.02 states/eV/atom; space-group type = Imma
1.0
-3.1416 3.2293 4.5806
3.1416 -3.2293 4.5806
3.1416 3.2293 -4.5806
Cd Co Sn O
2 2 2 8
direct
0.3912 0.1412 0.2500
0.6088 0.8588 0.7500
0.0000 0.0000 0.5000
0.0000 0.5000 0.0000
0.0000 0.5000 0.5000
0.5000 0.5000 0.0000
0.1929 0.7252 0.4676
0.2423 0.2710 0.5287
0.2424 0.2748 0.9676
0.2423 0.7137 0.9713
0.7577 0.2863 0.0287
0.7576 0.7252 0.0324
0.7577 0.7290 0.4713
0.8071 0.2748 0.5324

=====

3.
SrCdCoO3 (PBE with a Hubbard U, relaxed); electronic total energy = -63.64 eV for the cell shown; space-group type = P2_1/m
1.0
5.7749 0.0000 0.0000
0.0000 3.3829 0.0000
-1.8687 0.0000 8.3602
Sr Cd Co O
2 2 2 6
direct
0.1476 0.2500 0.1896
0.8524 0.7500 0.8104
0.2652 0.7500 0.5531
0.7348 0.2500 0.4469
0.3798 0.2500 0.8577
0.6202 0.7500 0.1423
0.0697 0.2500 0.6746
0.2774 0.7500 0.9884
0.4544 0.7500 0.3329
0.5456 0.2500 0.6671
0.7226 0.2500 0.0116
0.9303 0.7500 0.3254

=====

4.
Sr2CdCoO4 (PBE with a Hubbard U, relaxed); electronic total energy = -86.73 eV for the cell shown; Fermi-level density of states = 0.00 states/eV/atom; space-group type = C2/c
1.0
4.8822 -4.7942 0.0000
4.8822 4.7942 0.0000
-4.8587 0.0000 4.9418
Sr Cd Co O
4 2 2 8
direct
0.0000 0.0000 0.0000
0.0000 0.0000 0.5000
0.0000 0.5000 0.0000
0.5000 0.0000 0.5000
0.5000 0.5000 0.0000
0.5000 0.5000 0.5000
0.0000 0.5000 0.5000
0.5000 0.0000 0.0000
0.2367 0.2748 0.5042
0.2515 0.7406 0.5131
0.2594 0.7485 0.9869
0.2748 0.2367 0.0042
0.7252 0.7633 0.9958
0.7406 0.2515 0.0131
0.7485 0.2594 0.4869
0.7633 0.7252 0.4958